[1]
Na2Ti2Cl | PBE-GGA | optimized geometry

Calculated values
ρ   2.53 g/cm³
Relative energy among the computed polymorphs   0.0000 eV/atom
Uncorrected formation energy   0.13 eV/atom
Spin magnetization   1.06 μB/f.u.

Unit cell a=6.241 b=6.241 c=5.965 alpha=90.00 beta=90.00 gamma=90.00
Site moments in Bohr magnetons follow the coordinates.
Element x y z (fractional)
Na: 0.669 0.831 0.500  0.00
Na: 0.169 0.669 0.500  0.00
Na: 0.331 0.169 0.500  0.00
Na: 0.831 0.331 0.500  0.00
Cl: 0.000 0.000 0.000  -0.01
Cl: 0.500 0.500 0.000  -0.01
Ti: 0.348 0.848 0.000  0.39
Ti: 0.848 0.652 0.000  0.40
Ti: 0.152 0.348 0.000  0.40
Ti: 0.652 0.152 0.000  0.39

***

[2]
NdThHg2 | PBE-GGA | optimized geometry

Calculated values
ρ   10.89 g/cm³
Relative energy among the computed polymorphs   0.1304 eV/atom
Calculated formation energy   -198 meV per atom
Spin magnetization   0.00 μB/f.u.

Unit cell a=3.698 b=3.698 c=10.239 alpha=79.60 beta=79.60 gamma=60.00
Element x y z (fractional)
Nd: 0.500 0.500 0.500
Hg: 0.249 0.249 0.254
Hg: 0.751 0.751 0.746
Th: 0.000 0.000 0.000

***

[3]
YGe2I8 | PBE-GGA | optimized geometry

Calculated values
ρ   3.54 g/cm³
Uncorrected formation energy   -0.61 eV/atom
Spin magnetization   0.00 μB/f.u.

Unit cell a=7.693 b=8.900 c=8.900 alpha=82.39 beta=79.75 gamma=79.75
Element x y z (fractional)
I: 0.792 0.733 0.092
I: 0.839 0.618 0.618
I: 0.208 0.908 0.267
I: 0.208 0.267 0.908
I: 0.721 0.206 0.206
I: 0.279 0.794 0.794
I: 0.792 0.092 0.733
I: 0.161 0.382 0.382
Ge: 0.347 0.189 0.189
Ge: 0.653 0.811 0.811
Y: 0.000 0.000 0.000

***

[4]
AcBi2As | PBE-GGA | optimized geometry

Calculated values
ρ   9.86 g/cm³
Relative energy among the computed polymorphs   0.0000 eV/atom
Calculated formation energy   -542 meV per atom
Spin magnetization   0.00 μB/f.u.

Unit cell a=5.509 b=4.691 c=4.691 alpha=90.00 beta=90.00 gamma=90.00
Element x y z (fractional)
Ac: 0.500 0.500 0.500
Bi: 0.000 0.500 0.000
Bi: 0.000 0.000 0.500
As: 0.500 0.000 0.000